Record 1
This record from the Open Quantum Materials Database describes a relaxed structure of RbReGe. The functional is GGA-PBE.

a = 4.589 Å, b = 4.589 Å, c = 4.589 Å
α = 60.00°, β = 60.00°, γ = 60.00°
Atoms (fractional coordinates):
Rb: 0.750 0.750 0.750
Ge: 0.250 0.250 0.250
Re: 0.000 0.000 0.000

Computed properties:
Excess energy over the best structure of this formula in the dataset ... 0.00 kcal/mol of atoms
Space-group type ... No. 216

Record 2
This record from the Open Quantum Materials Database describes a relaxed structure of Rb4TcGeS6. The functional is GGA-PBE.

a = 6.911 Å, b = 7.593 Å, c = 8.922 Å
α = 71.85°, β = 68.48°, γ = 64.02°
Each line ends with the local moment (μB).
Atoms (fractional coordinates):
S: 0.118 0.675 0.087  0.00
S: 0.314 0.128 0.268  0.00
S: 0.884 0.327 0.912  0.06
S: 0.688 0.872 0.726  0.05
S: 0.779 0.488 0.504  0.01
S: 0.212 0.514 0.511  0.01
Ge: 0.130 0.439 0.307  -0.01
Tc: 0.871 0.560 0.691  0.66
Rb: 0.833 0.043 0.309  0.00
Rb: 0.179 0.942 0.681  0.00
Rb: 0.412 0.313 0.864  0.00
Rb: 0.580 0.699 0.140  0.00

Computed properties:
Uncorrected energy ... -4.525 eV per atom
Space-group type ... No. 1

Record 3
This record from the Open Quantum Materials Database describes a relaxed structure of RbTmGeS3. The functional is GGA-PBE.

a = 8.079 Å, b = 8.079 Å, c = 11.145 Å
α = 90.00°, β = 90.00°, γ = 152.27°
Atoms (fractional coordinates):
Ge: 0.398 0.602 0.250
Ge: 0.602 0.398 0.750
Tm: 0.000 0.000 0.000
Tm: 0.000 0.000 0.500
Rb: 0.297 0.703 0.750
Rb: 0.703 0.297 0.250
S: 0.384 0.616 0.015
S: 0.384 0.616 0.485
S: 0.000 0.000 0.250
S: 0.616 0.384 0.985
S: 0.616 0.384 0.515
S: 0.000 0.000 0.750

Computed properties:
Excess energy over the best structure of this formula in the dataset ... 3.31 kcal/mol of atoms
Space-group type ... No. 63

Record 4
This record from the Open Quantum Materials Database describes a relaxed structure of RbTmGeS3. The functional is GGA-PBE.

a = 15.448 Å, b = 3.891 Å, c = 11.250 Å
α = 90.00°, β = 90.00°, γ = 90.00°
Atoms (fractional coordinates):
S: 0.902 0.250 0.540
S: 0.077 0.250 0.774
S: 0.402 0.250 0.960
S: 0.423 0.750 0.274
S: 0.378 0.750 0.666
S: 0.122 0.250 0.166
S: 0.923 0.750 0.226
S: 0.598 0.750 0.040
S: 0.622 0.250 0.334
S: 0.878 0.750 0.834
S: 0.577 0.250 0.726
S: 0.098 0.750 0.460
Rb: 0.769 0.250 0.075
Rb: 0.731 0.750 0.575
Rb: 0.269 0.250 0.425
Rb: 0.231 0.750 0.925
Ge: 0.965 0.250 0.913
Ge: 0.035 0.750 0.087
Ge: 0.535 0.750 0.413
Ge: 0.465 0.250 0.587
Tm: 0.992 0.750 0.647
Tm: 0.008 0.250 0.353
Tm: 0.492 0.750 0.853
Tm: 0.508 0.250 0.147

Computed properties:
Excess energy over the best structure of this formula in the dataset ... 0.00 kcal/mol of atoms
Space-group type ... No. 62

Record 5
This record from the Open Quantum Materials Database describes a relaxed structure of RbSmGeSe4. The functional is GGA-PBE.

a = 6.864 Å, b = 7.103 Å, c = 18.149 Å
α = 90.00°, β = 90.00°, γ = 90.00°
Atoms (fractional coordinates):
Sm: 0.793 0.021 0.774
Sm: 0.707 0.979 0.274
Sm: 0.207 0.521 0.726
Sm: 0.293 0.479 0.226
Se: 0.937 0.013 0.415
Se: 0.901 0.583 0.285
Se: 0.945 0.245 0.642
Se: 0.437 0.487 0.585
Se: 0.063 0.513 0.085
Se: 0.096 0.262 0.851
Se: 0.904 0.762 0.649
Se: 0.599 0.417 0.785
Se: 0.055 0.745 0.858
Se: 0.555 0.755 0.142
Se: 0.596 0.238 0.149
Se: 0.563 0.987 0.915
Se: 0.404 0.738 0.351
Se: 0.099 0.083 0.215
Se: 0.445 0.255 0.358
Se: 0.401 0.917 0.715
Rb: 0.510 0.995 0.531
Rb: 0.990 0.005 0.031
Rb: 0.010 0.505 0.469
Rb: 0.490 0.495 0.969
Ge: 0.709 0.486 0.664
Ge: 0.791 0.514 0.164
Ge: 0.291 0.986 0.836
Ge: 0.209 0.014 0.336

Computed properties:
Uncorrected energy ... -4.615 eV per atom
Space-group type ... No. 19

Record 6
This record from the Open Quantum Materials Database describes a relaxed structure of RbTbGeSe3. The functional is GGA-PBE.

a = 7.954 Å, b = 7.954 Å, c = 11.395 Å
α = 90.00°, β = 90.00°, γ = 147.57°
Atoms (fractional coordinates):
Ge: 0.463 0.537 0.750
Ge: 0.537 0.463 0.250
Tb: 0.000 0.000 0.500
Tb: 0.000 0.000 0.000
Se: 0.378 0.622 0.544
Se: 0.378 0.622 0.956
Se: 0.622 0.378 0.044
Se: 0.941 0.059 0.250
Se: 0.622 0.378 0.456
Se: 0.059 0.941 0.750
Rb: 0.744 0.256 0.750
Rb: 0.256 0.744 0.250

Computed properties:
Uncorrected energy ... -4.562 eV per atom
Space-group type ... No. 63

Record 7
This record from the Open Quantum Materials Database describes a relaxed structure of Rb4TcGeSe6. The functional is GGA-PBE.

a = 7.146 Å, b = 7.878 Å, c = 9.444 Å
α = 71.89°, β = 68.78°, γ = 64.04°
Each line ends with the local moment (μB).
Atoms (fractional coordinates):
Se: 0.113 0.681 0.091  0.05
Se: 0.685 0.881 0.731  0.00
Se: 0.232 0.508 0.495  0.01
Se: 0.310 0.123 0.275  0.04
Se: 0.779 0.489 0.488  0.01
Se: 0.884 0.317 0.916  -0.01
Rb: 0.594 0.689 0.123  0.00
Rb: 0.414 0.301 0.872  0.00
Rb: 0.817 0.056 0.324  0.00
Rb: 0.174 0.955 0.684  0.00
Tc: 0.127 0.442 0.311  0.69
Ge: 0.872 0.559 0.692  -0.01

Computed properties:
Uncorrected energy ... -4.131 eV per atom
Space-group type ... No. 1

Record 8
This record from the Open Quantum Materials Database describes a relaxed structure of Rb4GeWSe6. The functional is GGA-PBE.

a = 7.174 Å, b = 7.882 Å, c = 9.600 Å
α = 70.22°, β = 68.93°, γ = 64.15°
Atoms (fractional coordinates):
Se: 0.682 0.886 0.733
Se: 0.878 0.315 0.927
Se: 0.314 0.115 0.275
Se: 0.119 0.681 0.083
Se: 0.787 0.481 0.478
Se: 0.240 0.501 0.485
Ge: 0.868 0.560 0.696
W: 0.131 0.436 0.307
Rb: 0.411 0.307 0.869
Rb: 0.600 0.682 0.121
Rb: 0.814 0.053 0.332
Rb: 0.155 0.984 0.694

Computed properties:
Uncorrected energy ... -4.378 eV per atom
Space-group type ... No. 1

Record 9
This record from the Open Quantum Materials Database describes a relaxed structure of Rb4Zn2SiGe. The functional is GGA-PBE.

a = 6.397 Å, b = 6.784 Å, c = 6.784 Å
α = 107.85°, β = 90.00°, γ = 90.00°
Atoms (fractional coordinates):
Si: 0.500 0.727 0.727
Zn: 0.747 0.502 0.502
Zn: 0.253 0.502 0.502
Rb: 0.000 0.024 0.687
Rb: 0.500 0.973 0.312
Rb: 0.500 0.312 0.973
Rb: 0.000 0.687 0.024
Ge: 0.000 0.272 0.272

Computed properties:
Uncorrected energy ... -2.111 eV per atom
Space-group type ... No. 38

Record 10
This record from the Open Quantum Materials Database describes a relaxed structure of RbSmGe. The functional is GGA-PBE.

a = 5.358 Å, b = 5.358 Å, c = 5.358 Å
α = 60.00°, β = 60.00°, γ = 60.00°
Atoms (fractional coordinates):
Sm: 0.750 0.750 0.750
Rb: 0.250 0.250 0.250
Ge: 0.000 0.000 0.000

Computed properties:
Excess energy over the best structure of this formula in the dataset ... 0.00 kcal/mol of atoms
Space-group type ... No. 216

Record 11
This record from the Open Quantum Materials Database describes a relaxed structure of RbSmGeTe3. The functional is GGA-PBE.

a = 8.309 Å, b = 8.309 Å, c = 12.225 Å
α = 90.00°, β = 90.00°, γ = 146.86°
Atoms (fractional coordinates):
Ge: 0.537 0.463 0.750
Ge: 0.463 0.537 0.250
Te: 0.065 0.935 0.250
Te: 0.630 0.370 0.548
Te: 0.630 0.370 0.952
Te: 0.370 0.630 0.452
Te: 0.370 0.630 0.048
Te: 0.935 0.065 0.750
Rb: 0.752 0.248 0.250
Rb: 0.248 0.752 0.750
Sm: 0.000 0.000 0.000
Sm: 0.000 0.000 0.500

Computed properties:
Uncorrected energy ... -4.160 eV per atom
Space-group type ... No. 63

Record 12
This record from the Open Quantum Materials Database describes a relaxed structure of Rb4Zn2SnGe. The functional is GGA-PBE.

a = 6.561 Å, b = 6.946 Å, c = 6.946 Å
α = 107.68°, β = 90.00°, γ = 90.00°
Atoms (fractional coordinates):
Ge: 0.000 0.741 0.741
Rb: 0.000 0.969 0.314
Rb: 0.500 0.680 0.011
Rb: 0.000 0.314 0.969
Rb: 0.500 0.011 0.680
Sn: 0.500 0.268 0.268
Zn: 0.768 0.509 0.509
Zn: 0.232 0.509 0.509

Computed properties:
Uncorrected energy ... -2.018 eV per atom
Space-group type ... No. 38

Record 13
This record from the Open Quantum Materials Database describes a relaxed structure of RbTa3Ge5. The functional is GGA-PBE.

a = 5.587 Å, b = 5.587 Å, c = 6.788 Å
α = 90.00°, β = 90.00°, γ = 120.00°
Atoms (fractional coordinates):
Ge: 0.667 0.333 0.815
Ge: 0.667 0.333 0.185
Ge: 0.333 0.667 0.185
Ge: 0.000 0.000 0.500
Ge: 0.333 0.667 0.815
Ta: 0.000 0.500 0.500
Ta: 0.500 0.500 0.500
Ta: 0.500 0.000 0.500
Rb: 0.000 0.000 0.000

Computed properties:
Uncorrected energy ... -6.675 eV per atom
Space-group type ... No. 191

Record 14
This record from the Open Quantum Materials Database describes a relaxed structure of RbTbGe. The functional is GGA-PBE.

a = 5.306 Å, b = 5.306 Å, c = 5.306 Å
α = 60.00°, β = 60.00°, γ = 60.00°
Atoms (fractional coordinates):
Rb: 0.250 0.250 0.250
Tb: 0.750 0.750 0.750
Ge: 0.000 0.000 0.000

Computed properties:
Uncorrected energy ... -3.249 eV per atom
Space-group type ... No. 216

Record 15
This record from the Open Quantum Materials Database describes a relaxed structure of RbTbGeTe3. The functional is GGA-PBE.

a = 8.380 Å, b = 8.380 Å, c = 12.131 Å
α = 90.00°, β = 90.00°, γ = 147.75°
Atoms (fractional coordinates):
Te: 0.563 0.437 0.750
Te: 0.872 0.128 0.956
Te: 0.872 0.128 0.544
Te: 0.128 0.872 0.044
Te: 0.128 0.872 0.456
Te: 0.437 0.563 0.250
Tb: 0.500 0.500 0.000
Tb: 0.500 0.500 0.500
Ge: 0.960 0.040 0.750
Ge: 0.040 0.960 0.250
Rb: 0.252 0.748 0.750
Rb: 0.748 0.252 0.250

Computed properties:
Uncorrected energy ... -4.133 eV per atom
Space-group type ... No. 63

Record 16
This record from the Open Quantum Materials Database describes a relaxed structure of RbTcGe. The functional is GGA-PBE.

a = 4.592 Å, b = 4.592 Å, c = 4.592 Å
α = 60.00°, β = 60.00°, γ = 60.00°
Atoms (fractional coordinates):
Ge: 0.250 0.250 0.250
Tc: 0.000 0.000 0.000
Rb: 0.750 0.750 0.750

Computed properties:
Excess energy over the best structure of this formula in the dataset ... 0.00 kcal/mol of atoms
Space-group type ... No. 216

Record 17
This record from the Open Quantum Materials Database describes a relaxed structure of RbTcGe. The functional is GGA-PBE.

a = 5.183 Å, b = 5.183 Å, c = 5.183 Å
α = 60.00°, β = 60.00°, γ = 60.00°
Atoms (fractional coordinates):
Rb: 0.000 0.000 0.000
Ge: 0.250 0.250 0.250
Tc: 0.750 0.750 0.750

Computed properties:
Excess energy over the best structure of this formula in the dataset ... 19.47 kcal/mol of atoms
Space-group type ... No. 216

Record 18
This record from the Open Quantum Materials Database describes a relaxed structure of RbZrGeTe3. The functional is GGA-PBE.

a = 8.523 Å, b = 8.523 Å, c = 11.951 Å
α = 90.00°, β = 90.00°, γ = 152.24°
Each line ends with the local moment (μB).
Atoms (fractional coordinates):
Zr: 0.000 0.000 0.500  0.08
Zr: 0.000 0.000 0.000  0.08
Te: 0.373 0.627 0.519  0.00
Te: 0.373 0.627 0.981  0.00
Te: 0.627 0.373 0.481  0.00
Te: 0.053 0.947 0.750  0.00
Te: 0.947 0.053 0.250  0.00
Te: 0.627 0.373 0.019  0.00
Ge: 0.437 0.563 0.750  0.00
Ge: 0.563 0.437 0.250  0.00
Rb: 0.247 0.753 0.250  0.00
Rb: 0.753 0.247 0.750  0.00

Computed properties:
Uncorrected energy ... -4.468 eV per atom
Space-group type ... No. 63

Record 19
This record from the Open Quantum Materials Database describes a relaxed structure of RbTmGe. The functional is GGA-PBE.

a = 5.281 Å, b = 5.281 Å, c = 5.281 Å
α = 60.00°, β = 60.00°, γ = 60.00°
Atoms (fractional coordinates):
Ge: 0.000 0.000 0.000
Rb: 0.250 0.250 0.250
Tm: 0.750 0.750 0.750

Computed properties:
Excess energy over the best structure of this formula in the dataset ... 0.00 kcal/mol of atoms
Space-group type ... No. 216

Record 20
This record from the Open Quantum Materials Database describes a relaxed structure of RbUGe. The functional is GGA-PBE.

a = 5.270 Å, b = 5.270 Å, c = 5.270 Å
α = 60.00°, β = 60.00°, γ = 60.00°
Atoms (fractional coordinates):
U: 0.750 0.750 0.750
Ge: 0.000 0.000 0.000
Rb: 0.250 0.250 0.250

Computed properties:
Excess energy over the best structure of this formula in the dataset ... 0.00 kcal/mol of atoms
Space-group type ... No. 216

Number 1: theoretical density 8.36 g cm⁻³. Number 2: theoretical density 3.04 g cm⁻³. Number 3: theoretical density 4.15 g cm⁻³. Number 4: theoretical density 4.16 g cm⁻³. Number 5: theoretical density 4.69 g cm⁻³. Number 6: theoretical density 4.76 g cm⁻³. Number 7: theoretical density 3.74 g cm⁻³. Number 8: theoretical density 4.00 g cm⁻³. Number 9: theoretical density 3.40 g cm⁻³. Number 10: theoretical density 4.71 g cm⁻³. Number 11: theoretical density 4.98 g cm⁻³. Number 12: theoretical density 3.66 g cm⁻³. Number 13: theoretical density 8.97 g cm⁻³. Number 14: theoretical density 4.98 g cm⁻³. Number 15: theoretical density 5.11 g cm⁻³. Number 16: theoretical density 6.21 g cm⁻³. Number 17: theoretical density 4.32 g cm⁻³. Number 18: theoretical density 5.19 g cm⁻³. Number 19: theoretical density 5.22 g cm⁻³. Number 20: theoretical density 6.36 g cm⁻³.